# GGA-PBE Zr2ZnTc, relaxed
data_Zr2ZnTc
_space_group_name_H-M_alt 'P 4 m m'
_space_group_IT_number 99
_cell_length_a 3.418
_cell_length_b 3.418
_cell_length_c 6.257
_cell_angle_alpha 90.00
_cell_angle_beta 90.00
_cell_angle_gamma 90.00
loop_
_space_group_symop_operation_xyz
'x,y,z'
'-y,x,z'
'-x,-y,z'
'y,-x,z'
'-x,y,z'
'y,x,z'
'x,-y,z'
'-y,-x,z'
loop_
_atom_site_label
_atom_site_type_symbol
_atom_site_fract_x
_atom_site_fract_y
_atom_site_fract_z
Zr1 Zr 0.000 0.000 0.000
Zr2 Zr 0.500 0.500 0.309
Zn1 Zn 0.500 0.500 0.758
Tc1 Tc 0.000 0.000 0.551
# E_form   -0.131 eV per atom
# Total magnetization   0.00 μB/f.u.


# GGA-PBE KIr2Rh, relaxed
data_KIr2Rh
_space_group_name_H-M_alt 'R 3 m'
_space_group_IT_number 160
_space_group_name_Hall 'R 3 -2"'
_cell_length_a 2.7958
_cell_length_b 2.7958
_cell_length_c 30.2302
_cell_angle_alpha 90.00
_cell_angle_beta 90.00
_cell_angle_gamma 120.00
loop_
_atom_site_label
_atom_site_type_symbol
_atom_site_fract_x
_atom_site_fract_y
_atom_site_fract_z
K1 K 0.0000 0.0000 0.0000
Ir1 Ir 0.0000 0.0000 0.5003
Ir2 Ir 0.0000 0.0000 0.7621
Rh1 Rh 0.0000 0.0000 0.2388
# E_form   0.549 eV per atom
# Excess energy over the best structure of this formula in the dataset   0.095 eV/atom
# Total magnetization   0.00 μB/f.u.


# GGA-PBE PmPrI4, relaxed
data_PmPrI4
_space_group_name_H-M_alt 'P 1 2/m 1'
_space_group_IT_number 10
_cell_length_a 7.346
_cell_length_b 4.240
_cell_length_c 8.524
_cell_angle_alpha 90.00
_cell_angle_beta 106.25
_cell_angle_gamma 90.00
loop_
_space_group_symop_operation_xyz
'x,y,z'
'-x,-y,-z'
'-x,y,-z'
'x,-y,z'
loop_
_atom_site_label
_atom_site_type_symbol
_atom_site_fract_x
_atom_site_fract_y
_atom_site_fract_z
Pm1 Pm 0.000 0.000 0.000
Pr1 Pr 0.500 0.500 0.000
I1 I 0.243 0.500 0.248
I2 I 0.247 0.000 0.748
# Excess energy over the best structure of this formula in the dataset   0.000 eV/atom
# Total magnetization   0.00 μB/f.u.


# GGA-PBE SrTe2AsO8, relaxed
data_SrTe2AsO8
_space_group_name_H-M_alt 'C 1 2/m 1'
_space_group_IT_number 12
_cell_length_a 13.023
_cell_length_b 5.209
_cell_length_c 5.364
_cell_angle_alpha 90.00
_cell_angle_beta 111.51
_cell_angle_gamma 90.00
loop_
_space_group_symop_operation_xyz
'x,y,z'
'-x,-y,-z'
'-x,y,-z'
'x,-y,z'
'x+1/2,y+1/2,z'
'-x+1/2,-y+1/2,-z'
'-x+1/2,y+1/2,-z'
'x+1/2,-y+1/2,z'
loop_
_atom_site_label
_atom_site_type_symbol
_atom_site_fract_x
_atom_site_fract_y
_atom_site_fract_z
Sr1 Sr 0.000 0.000 0.000
Te1 Te 0.212 0.000 0.698
As1 As 0.000 0.500 0.500
O1 O 0.061 0.500 0.248
O2 O 0.101 0.248 0.714
O3 O 0.193 0.000 0.336
# Total magnetization   1.01 μB/f.u.


# GGA-PBE HfTaNb2W, relaxed
data_HfTaNb2W
_space_group_name_H-M_alt 'P 4/m m m'
_space_group_IT_number 123
_space_group_name_Hall '-P 4 2'
_cell_length_a 4.854
_cell_length_b 4.854
_cell_length_c 4.824
_cell_angle_alpha 90.00
_cell_angle_beta 90.00
_cell_angle_gamma 90.00
loop_
_atom_site_label
_atom_site_type_symbol
_atom_site_fract_x
_atom_site_fract_y
_atom_site_fract_z
Hf1 Hf 0.000 0.000 0.000
Ta1 Ta 0.500 0.500 0.500
Nb1 Nb 0.000 0.500 0.500
W1 W 0.500 0.500 0.000
# E_form   1.465 eV per atom
# Excess energy over the best structure of this formula in the dataset   0.000 eV/atom
# Total magnetization   0.00 μB/f.u.


# GGA-PBE VIn2Cl6, relaxed
data_VIn2Cl6
_space_group_name_H-M_alt 'C 1 2/m 1'
_space_group_IT_number 12
_cell_length_a 13.940
_cell_length_b 3.621
_cell_length_c 10.504
_cell_angle_alpha 90.00
_cell_angle_beta 90.31
_cell_angle_gamma 90.00
loop_
_space_group_symop_operation_xyz
'x,y,z'
'-x,-y,-z'
'-x,y,-z'
'x,-y,z'
'x+1/2,y+1/2,z'
'-x+1/2,-y+1/2,-z'
'-x+1/2,y+1/2,-z'
'x+1/2,-y+1/2,z'
loop_
_atom_site_label
_atom_site_type_symbol
_atom_site_fract_x
_atom_site_fract_y
_atom_site_fract_z
V1 V 0.000 0.000 0.000
In1 In 0.207 0.000 0.676
Cl1 Cl 0.007 0.000 0.785
Cl2 Cl 0.116 0.500 0.008
Cl3 Cl 0.135 0.500 0.502
# Excess energy over the best structure of this formula in the dataset   0.063 eV/atom
# Total magnetization   1.03 μB/f.u.


# GGA-PBE Ba3CO, relaxed
data_Ba3CO
_space_group_name_H-M_alt 'P m -3 m'
_space_group_IT_number 221
_space_group_name_Hall '-P 4 2 3'
_cell_length_a 5.288
_cell_length_b 5.288
_cell_length_c 5.288
_cell_angle_alpha 90.00
_cell_angle_beta 90.00
_cell_angle_gamma 90.00
loop_
_atom_site_label
_atom_site_type_symbol
_atom_site_fract_x
_atom_site_fract_y
_atom_site_fract_z
Ba1 Ba 0.000 0.000 0.500
C1 C 0.500 0.500 0.500
O1 O 0.000 0.000 0.000
# Excess energy over the best structure of this formula in the dataset   0.000 eV/atom
# Total magnetization   0.00 μB/f.u.


# GGA-PBE Rb2NaGaGe2, relaxed
data_Rb2NaGaGe2
_space_group_name_H-M_alt 'I b a m'
_space_group_IT_number 72
_space_group_name_Hall '-I 2 2c'
_cell_length_a 7.176
_cell_length_b 16.271
_cell_length_c 6.674
_cell_angle_alpha 90.00
_cell_angle_beta 90.00
_cell_angle_gamma 90.00
loop_
_atom_site_label
_atom_site_type_symbol
_atom_site_fract_x
_atom_site_fract_y
_atom_site_fract_z
Rb1 Rb 0.242 0.171 0.000
Na1 Na 0.000 0.000 0.250
Ga1 Ga 0.000 0.500 0.250
Ge1 Ge 0.200 0.413 0.000
# E_form   -0.065 eV per atom
# Total magnetization   0.00 μB/f.u.


# GGA-PBE Sr3HgPd8, relaxed
data_Sr3HgPd8
_space_group_name_H-M_alt 'R 3 m'
_space_group_IT_number 160
_space_group_name_Hall 'R 3 -2"'
_cell_length_a 5.5479
_cell_length_b 5.5479
_cell_length_c 27.1644
_cell_angle_alpha 90.00
_cell_angle_beta 90.00
_cell_angle_gamma 120.00
loop_
_atom_site_label
_atom_site_type_symbol
_atom_site_fract_x
_atom_site_fract_y
_atom_site_fract_z
Sr1 Sr 0.0000 0.0000 0.0000
Sr2 Sr 0.0000 0.0000 0.1290
Sr3 Sr 0.0000 0.0000 0.5116
Hg1 Hg 0.0000 0.0000 0.6327
Pd1 Pd 0.0000 0.0000 0.3172
Pd2 Pd 0.0000 0.0000 0.8176
Pd3 Pd 0.9997 0.4998 0.5679
Pd4 Pd 0.1674 0.3349 0.4002
# E_form   -0.534 eV per atom
# Total magnetization   0.00 μB/f.u.


# GGA-PBE Rb3LiSe2, relaxed
data_Rb3LiSe2
_space_group_name_H-M_alt 'I b a m'
_space_group_IT_number 72
_space_group_name_Hall '-I 2 2c'
_cell_length_a 8.288
_cell_length_b 14.644
_cell_length_c 7.001
_cell_angle_alpha 90.00
_cell_angle_beta 90.00
_cell_angle_gamma 90.00
loop_
_atom_site_label
_atom_site_type_symbol
_atom_site_fract_x
_atom_site_fract_y
_atom_site_fract_z
Rb1 Rb 0.000 0.000 0.250
Rb2 Rb 0.185 0.325 0.000
Li1 Li 0.000 0.500 0.250
Se1 Se 0.195 0.403 0.500
# Total magnetization   0.00 μB/f.u.


Number 1: electronic total energy -0.2688 hartree per atom, D(E_F) 3.6 states/eV per cell, V 18.272 Å³/atom. Number 2: electronic total energy -0.2203 hartree per atom, D(E_F) 18.5 states/eV per cell, V 17.053 Å³/atom. Number 3: electronic total energy -0.1439 hartree per atom, D(E_F) 3.6 states/eV per cell, V 42.478 Å³/atom. Number 4: electronic total energy -0.2065 hartree per atom, D(E_F) 2.1 states/eV per cell, V 14.107 Å³/atom. Number 5: electronic total energy -0.3497 hartree per atom, D(E_F) 6.8 states/eV per cell, V 22.737 Å³/atom. Number 6: electronic total energy -0.1396 hartree per atom, D(E_F) 9.2 states/eV per cell, V 29.459 Å³/atom. Number 7: electronic total energy -0.1537 hartree per atom, D(E_F) 0.3 states/eV per cell, V 29.570 Å³/atom. Number 8: electronic total energy -0.0974 hartree per atom, D(E_F) 11.7 states/eV per cell, V 32.467 Å³/atom. Number 9: electronic total energy -0.1632 hartree per atom, D(E_F) 29.0 states/eV per cell, V 20.113 Å³/atom. Number 10: electronic total energy -0.1111 hartree per atom, D(E_F) 0.0 states/eV per cell, V 35.407 Å³/atom.